First-principles (PBE) data for an optimized crystal structure of NaSn3Hg6, as listed in Alexandria via LeMat-Bulk.

## Properties
Energy of formation from the pure elements (eV per atom): 0.16

extended XYZ file:
```
10
Lattice="10.032 5.792 1.030 -10.032 5.792 1.030 0.000 -11.584 1.030" Properties=species:S:1:pos:R:3 pbc="T T T"
Na 0.000 0.000 0.000
Sn -5.173 -2.987 2.027
Sn 5.173 -2.987 2.027
Sn 0.000 5.973 2.027
Hg -2.682 -1.548 1.590
Hg 0.000 -2.933 1.519
Hg -2.540 1.466 1.519
Hg 2.682 -1.548 1.590
Hg 0.000 3.097 1.590
Hg 2.540 1.466 1.519
```